# 1
Here is a relaxed RbNdTiO4 crystal from Alexandria. Energies are from GGA-PBE.

Values from the calculation:
The energy comes out at -7.658 eV per atom. The space-group type is P2_1/m (11).

Cell: 6.1112 6.1381 7.7786 Å, 90.00 106.87 90.00°
Sites, in units of the cell vectors:
Rb (0.6888, 0.7500, 0.9244)
Rb (0.3112, 0.2500, 0.0756)
Nd (0.8034, 0.7500, 0.4527)
Nd (0.1966, 0.2500, 0.5473)
Ti (0.2670, 0.7500, 0.3406)
Ti (0.7330, 0.2500, 0.6594)
O (0.9388, 0.4770, 0.6705)
O (0.0612, 0.9770, 0.3295)
O (0.0612, 0.5230, 0.3295)
O (0.9388, 0.0230, 0.6705)
O (0.4639, 0.7500, 0.2029)
O (0.5361, 0.2500, 0.7971)
O (0.4675, 0.7500, 0.5598)
O (0.5325, 0.2500, 0.4402)

***

# 2
Here is a relaxed NaZrSb3 crystal from Alexandria. Energies are from GGA-PBE.

Values from the calculation:
The excess energy over the best structure of this formula in the dataset is 0.000 eV per atom. The space-group type is Pm-3m (221).

Cell: 5.5892 5.5892 5.5892 Å, 90.00 90.00 90.00°
Sites, in units of the cell vectors:
Sb (0.0000, 0.5000, 0.0000)
Sb (0.0000, 0.0000, 0.5000)
Sb (0.5000, 0.0000, 0.0000)
Zr (0.0000, 0.0000, 0.0000)
Na (0.5000, 0.5000, 0.5000)

***

# 3
Here is a relaxed LaYMo2 crystal from Alexandria. Energies are from GGA-PBE.

Values from the calculation:
The excess energy over the best structure of this formula in the dataset is 0.000 eV per atom. The space-group type is P4mm (99). The energy of formation is 4.2 kcal/mol of atoms.

Cell: 3.3065 3.3065 8.7727 Å, 90.00 90.00 90.00°
Sites, in units of the cell vectors:
La (0.5000, 0.5000, 0.8056)
Mo (0.0000, 0.0000, 0.0565)
Mo (0.5000, 0.5000, 0.2057)
Y (0.0000, 0.0000, 0.4322)

***

# 4
Here is a relaxed TlTcS2N crystal from Alexandria. Energies are from GGA-PBE.

Values from the calculation:
The excess energy over the best structure of this formula in the dataset is 1.626 eV per atom. The space-group type is P4/mmm (123).

Cell: 5.2254 5.2254 4.2248 Å, 90.00 90.00 90.00°
Each line ends with the local moment (μB).
Sites, in units of the cell vectors:
S (0.0000, 0.5000, 0.0000)  -0.04
S (0.5000, 0.0000, 0.0000)  -0.04
Tl (0.0000, 0.0000, 0.0000)  -0.01
Tc (0.5000, 0.5000, 0.5000)  4.03
N (0.0000, 0.0000, 0.5000)  -1.03

***

# 5
Here is a relaxed HfAu2 crystal from Alexandria. Energies are from GGA-PBE.

Values from the calculation:
The space-group type is I4/mmm (139). The energy of formation is -12.9 kcal/mol of atoms.

Cell: 5.0771 5.0771 5.0771 Å, 138.80 138.80 59.68°
Sites, in units of the cell vectors:
Hf (0.0000, 0.0000, 0.0000)
Au (0.6670, 0.6670, 0.0000)
Au (0.3330, 0.3330, 0.0000)

***

# 6
Here is a relaxed CaGa2Pd4 crystal from Alexandria. Energies are from GGA-PBE.

Values from the calculation:
The excess energy over the best structure of this formula in the dataset is 0.000 eV per atom. The space-group type is P4_2/mnm (136). The energy of formation is -15.9 kcal/mol of atoms.

Cell: 3.9971 7.8593 7.8593 Å, 90.00 90.00 90.00°
Sites, in units of the cell vectors:
Ca (0.5000, 0.0000, 0.0000)
Ca (0.0000, 0.5000, 0.5000)
Ga (0.0000, 0.2252, 0.7748)
Ga (0.0000, 0.7748, 0.2252)
Ga (0.5000, 0.7252, 0.7252)
Ga (0.5000, 0.2748, 0.2748)
Pd (0.0000, 0.0809, 0.3341)
Pd (0.0000, 0.9191, 0.6659)
Pd (0.5000, 0.1659, 0.5809)
Pd (0.5000, 0.8341, 0.4191)
Pd (0.5000, 0.4191, 0.8341)
Pd (0.5000, 0.5809, 0.1659)
Pd (0.0000, 0.3341, 0.0809)
Pd (0.0000, 0.6659, 0.9191)